Entry from the Alexandria database: a PBEsol-optimized structure of Hf3AsIr (meta-GGA SCAN).

Properties
M_tot in μB/atom: 0.000
Energy in eV per atom: -55.8746
Fermi-level density of states in states/eV/atom: 0.548
ΔE_f in meV per atom: -12.8

Unit cell a=4.9437 b=4.9437 c=4.9437 alpha=90.00 beta=90.00 gamma=90.00
Closest atoms and distances in Å follow each position.
Atoms (fractional coordinates):
Hf (0.0000, 0.0000, 0.5000)  2 Ir 2.47
Hf (0.5000, 0.0000, 0.0000)  2 Ir 2.47
Hf (0.0000, 0.5000, 0.0000)  2 Ir 2.47
As (0.5000, 0.5000, 0.5000)  12 Hf 3.50
Ir (0.0000, 0.0000, 0.0000)  6 Hf 2.47

Entry from the Alexandria database: a PBEsol-optimized structure of Li2CaBe (meta-GGA SCAN).

Properties
M_tot in μB/atom: 0.031
Energy in eV per atom: -4.4069
Fermi-level density of states in states/eV/atom: 0.646
ΔE_f in meV per atom: 292.2

Unit cell a=4.3912 b=4.3912 c=5.4411 alpha=66.20 beta=66.20 gamma=60.00
Closest atoms and distances in Å follow each position.
Atoms (fractional coordinates):
Li (0.7873, 0.7873, 0.6381)  3 Be 2.62, 3 Li 2.86
Li (0.2127, 0.2127, 0.3619)  3 Be 2.62, 3 Li 2.86
Ca (0.0000, 0.0000, 0.0000)  8 Li 3.07-3.08
Be (0.5000, 0.5000, 0.5000)  6 Li 2.62

Entry from the Alexandria database: a PBEsol-optimized structure of BaNi3 (meta-GGA SCAN).

Properties
M_tot in μB/atom: 0.209
Energy in eV per atom: -21.1827
Fermi-level density of states in states/eV/atom: 0.792
ΔE_f in meV per atom: 834.8

Unit cell a=4.0048 b=4.0048 c=4.0048 alpha=90.00 beta=90.00 gamma=90.00
Closest atoms and distances in Å follow each position.
Atoms (fractional coordinates):
Ba (0.0000, 0.0000, 0.0000)  12 Ni 2.83
Ni (0.0000, 0.5000, 0.5000)  4 Ba 2.83, 8 Ni 2.83
Ni (0.5000, 0.0000, 0.5000)  4 Ba 2.83, 8 Ni 2.83
Ni (0.5000, 0.5000, 0.0000)  4 Ba 2.83, 8 Ni 2.83

Entry from the Alexandria database: a PBEsol-optimized structure of CaTe2Pt (meta-GGA SCAN).

Properties
M_tot in μB/atom: 0.000
Energy in eV per atom: -39.4580
E_form (uncorrected) in eV per atom: -0.87
Fermi-level density of states in states/eV/atom: 0.634
Energy above the lowest structure with this stoichiometry in eV/f.u.: 0.00

Unit cell a=3.9936 b=4.1374 c=6.8583 alpha=107.65 beta=90.00 gamma=90.00
Closest atoms and distances in Å follow each position.
Atoms (fractional coordinates):
Te (0.5000, 0.4667, 0.3115)  1 Pt 2.58
Te (0.0000, 0.7921, 0.9548)  2 Pt 2.57
Pt (0.5000, 0.6655, 0.7061)  3 Te 2.57-2.58
Ca (0.0000, 0.0757, 0.5276)  4 Pt 3.10, 5 Te 3.20-3.47